Computed, not measured: CaY2PtO after structural relaxation at the GGA-PBE level of DFT.

```
data_CaY2PtO
_chemical_formula_sum 'Ca1 Y2 Pt1 O1'
_symmetry_space_group_name_H-M 'P 4/m m m'
_symmetry_Int_Tables_number 123
_symmetry_space_group_name_Hall '-P 4 2'
_cell_length_a 4.756
_cell_length_b 4.756
_cell_length_c 4.534
_cell_angle_alpha 90.00
_cell_angle_beta 90.00
_cell_angle_gamma 90.00
loop_
_atom_site_label
_atom_site_fract_x
_atom_site_fract_y
_atom_site_fract_z
Ca1 0.000 0.000 0.000
Y1 0.000 0.500 0.500
Pt1 0.500 0.500 0.000
O1 0.000 0.000 0.500
```

Energy relative to the lowest polymorph listed for this composition (meV/atom): 0
Formation energy (no corrections) (kJ/mol of atoms): -146.38